<a>
# GGA-PBE Pr2PtN, optimized geometry
# Crystal system   tetragonal
# Magnetic moment   0.00 μB/f.u.
data_Pr2PtN
_chemical_formula_sum 'Pr2 Pt1 N1'
_symmetry_space_group_name_H-M 'P 4/m m m'
_symmetry_Int_Tables_number 123
_symmetry_space_group_name_Hall '-P 4 2'
_cell_length_a 3.345
_cell_length_b 3.345
_cell_length_c 7.013
_cell_angle_alpha 90.00
_cell_angle_beta 90.00
_cell_angle_gamma 90.00
loop_
_atom_site_label
_atom_site_type_symbol
_atom_site_fract_x
_atom_site_fract_y
_atom_site_fract_z
_atom_site_occupancy
Pr1 Pr 0.000 0.000 0.217 1
Pt1 Pt 0.500 0.500 0.500 1
N1 N 0.500 0.500 0.000 1

<b>
# GGA-PBE Pr2PtN, optimized geometry
# Crystal system   trigonal
# Magnetic moment   0.00 μB/f.u.
data_Pr2PtN
_chemical_formula_sum 'Pr6 Pt3 N3'
_symmetry_space_group_name_H-M 'R -3 m'
_symmetry_Int_Tables_number 166
_symmetry_space_group_name_Hall '-R 3 2"'
_cell_length_a 3.7952
_cell_length_b 3.7952
_cell_length_c 20.9739
_cell_angle_alpha 90.00
_cell_angle_beta 90.00
_cell_angle_gamma 120.00
loop_
_atom_site_label
_atom_site_type_symbol
_atom_site_fract_x
_atom_site_fract_y
_atom_site_fract_z
_atom_site_occupancy
Pr1 Pr 0.0000 0.0000 0.2359 1
Pt1 Pt 0.0000 0.0000 0.0000 1
N1 N 0.0000 0.0000 0.5000 1

Last place for stability: <a>

<a>
# GGA-PBE Pr3PuN3, optimized geometry
# Crystal system   monoclinic
# Magnetic moment   5.36 μB/f.u.
data_Pr3PuN3
_chemical_formula_sum 'Pr12 Pu4 N12'
_symmetry_space_group_name_H-M 'C 1 2/m 1'
_symmetry_Int_Tables_number 12
_symmetry_space_group_name_Hall '-C 2y'
_cell_length_a 7.634
_cell_length_b 10.389
_cell_length_c 7.432
_cell_angle_alpha 90.00
_cell_angle_beta 102.56
_cell_angle_gamma 90.00
loop_
_atom_site_label
_atom_site_type_symbol
_atom_site_fract_x
_atom_site_fract_y
_atom_site_fract_z
_atom_site_occupancy
Pr1 Pr 0.000 0.179 0.000 1
Pr2 Pr 0.000 0.186 0.500 1
Pr3 Pr 0.170 0.500 0.659 1
Pu1 Pu 0.193 0.500 0.175 1
N1 N 0.001 0.000 0.758 1
N2 N 0.149 0.363 0.374 1

<b>
# GGA-PBE Pr3PuN3, optimized geometry
# Crystal system   hexagonal
# Magnetic moment   5.48 μB/f.u.
data_Pr3PuN3
_chemical_formula_sum 'Pr6 Pu2 N6'
_symmetry_space_group_name_H-M 'P 63/m m c'
_symmetry_Int_Tables_number 194
_symmetry_space_group_name_Hall '-P 6c 2c'
_cell_length_a 8.1833
_cell_length_b 8.1833
_cell_length_c 5.3518
_cell_angle_alpha 90.00
_cell_angle_beta 90.00
_cell_angle_gamma 120.00
loop_
_atom_site_label
_atom_site_type_symbol
_atom_site_fract_x
_atom_site_fract_y
_atom_site_fract_z
_atom_site_occupancy
Pr1 Pr 0.1689 0.3377 0.2500 1
Pu1 Pu 0.3333 0.6667 0.7500 1
N1 N 0.1724 0.3448 0.7500 1

Last place for stability: <a>